# 1
This record from Alexandria describes La3RhS after structural relaxation. The functional is GGA-PBE.

Summary:
Polymorph energy (0 for the lowest one), meV/atom: 0
Volume, Å³/f.u.: 157
M_tot, μB/f.u.: 0.0
Fermi-level density of states, states/eV per cell: 9.1
Uncorrected formation energy, eV/atom: -0.50

```
data_La3RhS
_cell_length_a 5.3924
_cell_length_b 5.3924
_cell_length_c 5.3924
_cell_angle_alpha 90.00
_cell_angle_beta 90.00
_cell_angle_gamma 90.00
_space_group_name_H-M_alt 'P 1'
_space_group_IT_number 1
_space_group_name_Hall 'P 1'
loop_
_atom_site_label
_atom_site_fract_x
_atom_site_fract_y
_atom_site_fract_z
S1 0.0000 0.0000 0.0000
Rh1 0.5000 0.5000 0.5000
La1 0.0000 0.5000 0.0000
La2 0.0000 0.0000 0.5000
La3 0.5000 0.0000 0.0000
```

***

# 2
This record from Alexandria describes Tm8Ga3NiSe4 after structural relaxation. The functional is GGA-PBE.

Summary:
Volume, Å³/f.u.: 376
M_tot, μB/f.u.: 0.0
Fermi-level density of states, states/eV per cell: 10.3
Uncorrected formation energy, eV/atom: -1.08

```
data_Tm8Ga3NiSe4
_cell_length_a 7.7796
_cell_length_b 8.4601
_cell_length_c 7.7775
_cell_angle_alpha 117.34
_cell_angle_beta 120.01
_cell_angle_gamma 90.00
_space_group_name_H-M_alt 'P 1'
_space_group_IT_number 1
_space_group_name_Hall 'P 1'
loop_
_atom_site_label
_atom_site_fract_x
_atom_site_fract_y
_atom_site_fract_z
Tm1 0.2430 0.7455 0.0025
Tm2 0.2432 0.7457 0.4864
Tm3 0.2479 0.2437 0.4958
Tm4 0.7594 0.7455 0.0025
Tm5 0.2406 0.2545 0.9975
Tm6 0.7521 0.7563 0.5042
Tm7 0.7568 0.2543 0.5136
Tm8 0.7570 0.2545 0.9975
Ga1 0.5000 0.5000 0.0000
Ga2 0.5000 0.5000 0.5000
Ga3 0.0000 0.5000 0.5000
Ni1 0.0000 0.5000 0.0000
Se1 0.5000 0.0000 0.0000
Se2 0.5000 0.0000 0.5000
Se3 0.0000 0.0000 0.0000
Se4 0.0000 0.0000 0.5000
```

***

# 3
This record from Alexandria describes CoSiRh2 after structural relaxation. The functional is GGA-PBE.

Summary:
Volume, Å³/f.u.: 51
M_tot, μB/f.u.: 0.9
Fermi-level density of states, states/eV per cell: 4.8
Uncorrected formation energy, eV/atom: -0.28

```
data_CoSiRh2
_cell_length_a 4.5266
_cell_length_b 4.5266
_cell_length_c 4.5266
_cell_angle_alpha 131.48
_cell_angle_beta 131.48
_cell_angle_gamma 71.05
_space_group_name_H-M_alt 'P 1'
_space_group_IT_number 1
_space_group_name_Hall 'P 1'
loop_
_atom_site_label
_atom_site_fract_x
_atom_site_fract_y
_atom_site_fract_z
Co1 0.7500 0.2500 0.5000
Rh1 0.0000 0.0000 0.0000
Rh2 0.2500 0.7500 0.5000
Si1 0.5000 0.5000 0.0000
```

***

# 4
This record from Alexandria describes AlCr2Mo after structural relaxation. The functional is GGA-PBE.

Summary:
ΔH_f (0 K), meV per atom: -65
Volume, Å³/f.u.: 54
M_tot, μB/f.u.: 0.5
Fermi-level density of states, states/eV per cell: 3.5

```
data_AlCr2Mo
_cell_length_a 4.9449
_cell_length_b 4.9449
_cell_length_c 4.2403
_cell_angle_alpha 64.61
_cell_angle_beta 64.61
_cell_angle_gamma 35.35
_space_group_name_H-M_alt 'P 1'
_space_group_IT_number 1
_space_group_name_Hall 'P 1'
loop_
_atom_site_label
_atom_site_fract_x
_atom_site_fract_y
_atom_site_fract_z
Cr1 0.0154 0.0154 0.9845
Cr2 0.7408 0.7408 0.7592
Mo1 0.4871 0.4871 0.5129
Al1 0.2566 0.2566 0.2434
```

***

# 5
This record from Alexandria describes PmZr2O after structural relaxation. The functional is GGA-PBE.

Summary:
Volume, Å³/f.u.: 86
M_tot, μB/f.u.: 0.0
Fermi-level density of states, states/eV per cell: 4.0
Uncorrected formation energy, eV/atom: -0.93

```
data_PmZr2O
_cell_length_a 3.3985
_cell_length_b 3.3985
_cell_length_c 8.8669
_cell_angle_alpha 78.95
_cell_angle_beta 78.95
_cell_angle_gamma 60.00
_space_group_name_H-M_alt 'P 1'
_space_group_IT_number 1
_space_group_name_Hall 'P 1'
loop_
_atom_site_label
_atom_site_fract_x
_atom_site_fract_y
_atom_site_fract_z
O1 0.5000 0.5000 0.5000
Zr1 0.1223 0.1223 0.6332
Zr2 0.8777 0.8777 0.3668
Pm1 0.0000 0.0000 0.0000
```

***

# 6
This record from Alexandria describes PrNd5Sm after structural relaxation. The functional is GGA-PBE.

Summary:
ΔH_f (0 K), meV per atom: 154
Polymorph energy (0 for the lowest one), meV/atom: 0
Volume, Å³/f.u.: 248
M_tot, μB/f.u.: 0.0
Fermi-level density of states, states/eV per cell: 19.7

```
data_PrNd5Sm
_cell_length_a 7.0032
_cell_length_b 7.0032
_cell_length_c 13.9439
_cell_angle_alpha 61.76
_cell_angle_beta 61.76
_cell_angle_gamma 59.91
_space_group_name_H-M_alt 'P 1'
_space_group_IT_number 1
_space_group_name_Hall 'P 1'
loop_
_atom_site_label
_atom_site_fract_x
_atom_site_fract_y
_atom_site_fract_z
Pr1 0.0000 0.0000 0.0000
Pr2 0.0000 0.0000 0.5000
Nd1 0.1630 0.3998 0.7492
Nd2 0.6551 0.6921 0.5000
Nd3 0.3998 0.1630 0.2492
Nd4 0.1646 0.8354 0.7500
Nd5 0.3079 0.3449 0.0000
Nd6 0.6921 0.6551 0.0000
Nd7 0.8354 0.1646 0.2500
Nd8 0.6002 0.8370 0.7508
Nd9 0.3449 0.3079 0.5000
Nd10 0.8370 0.6002 0.2508
Sm1 0.7225 0.2775 0.7500
Sm2 0.2775 0.7225 0.2500
```

***

# 7
This record from Alexandria describes Sm2Cl2F after structural relaxation. The functional is GGA-PBE.

Summary:
Volume, Å³/f.u.: 200
M_tot, μB/f.u.: 0.0
Fermi-level density of states, states/eV per cell: 3.9
Uncorrected formation energy, eV/atom: -1.54

```
data_Sm2Cl2F
_cell_length_a 3.8531
_cell_length_b 3.8531
_cell_length_c 13.4984
_cell_angle_alpha 90.00
_cell_angle_beta 90.00
_cell_angle_gamma 90.00
_space_group_name_H-M_alt 'P 1'
_space_group_IT_number 1
_space_group_name_Hall 'P 1'
loop_
_atom_site_label
_atom_site_fract_x
_atom_site_fract_y
_atom_site_fract_z
Sm1 0.5000 0.5000 0.1695
Sm2 0.5000 0.5000 0.8305
Cl1 0.5000 0.5000 0.6486
Cl2 0.5000 0.5000 0.3514
F1 0.5000 0.5000 0.0000
```

***

# 8
This record from Alexandria describes HfOsSe2N after structural relaxation. The functional is GGA-PBE.

Summary:
Polymorph energy (0 for the lowest one), meV/atom: 380
Volume, Å³/f.u.: 81
M_tot, μB/f.u.: 0.0
Fermi-level density of states, states/eV per cell: 4.7
Uncorrected formation energy, eV/atom: 0.61

```
data_HfOsSe2N
_cell_length_a 4.3788
_cell_length_b 4.2109
_cell_length_c 4.3788
_cell_angle_alpha 90.00
_cell_angle_beta 90.00
_cell_angle_gamma 90.00
_space_group_name_H-M_alt 'P 1'
_space_group_IT_number 1
_space_group_name_Hall 'P 1'
loop_
_atom_site_label
_atom_site_fract_x
_atom_site_fract_y
_atom_site_fract_z
Hf1 0.0000 0.5000 0.0000
Os1 0.5000 0.5000 0.5000
Se1 0.0000 0.0000 0.5000
Se2 0.5000 0.0000 0.0000
N1 0.0000 0.0000 0.0000
```

***

# 9
This record from Alexandria describes Cs2LaCrI6 after structural relaxation. The functional is GGA-PBE.

Summary:
Volume, Å³/f.u.: 466
M_tot, μB/f.u.: 5.0
Fermi-level density of states, states/eV per cell: 0.0
Uncorrected formation energy, eV/atom: -1.17

```
data_Cs2LaCrI6
_cell_length_a 8.7018
_cell_length_b 8.7018
_cell_length_c 8.7029
_cell_angle_alpha 60.00
_cell_angle_beta 60.00
_cell_angle_gamma 90.00
_space_group_name_H-M_alt 'P 1'
_space_group_IT_number 1
_space_group_name_Hall 'P 1'
loop_
_atom_site_label
_atom_site_fract_x
_atom_site_fract_y
_atom_site_fract_z
Cs1 0.7500 0.2500 0.5000
Cs2 0.2500 0.7500 0.5000
I1 0.2573 0.2573 0.4854
I2 0.7427 0.7427 0.5146
I3 0.2573 0.2573 0.0000
I4 0.7427 0.7427 0.0000
I5 0.7427 0.2573 0.0000
I6 0.2573 0.7427 0.0000
Cr1 0.5000 0.5000 0.0000
La1 0.0000 0.0000 0.0000
```

***

# 10
This record from Alexandria describes MgMoAsC2 after structural relaxation. The functional is GGA-PBE.

Summary:
ΔH_f (0 K), meV per atom: 2502
Volume, Å³/f.u.: 79
M_tot, μB/f.u.: 0.0
Fermi-level density of states, states/eV per cell: 5.0

```
data_MgMoAsC2
_cell_length_a 3.9264
_cell_length_b 5.1215
_cell_length_c 3.9264
_cell_angle_alpha 90.00
_cell_angle_beta 90.00
_cell_angle_gamma 90.00
_space_group_name_H-M_alt 'P 1'
_space_group_IT_number 1
_space_group_name_Hall 'P 1'
loop_
_atom_site_label
_atom_site_fract_x
_atom_site_fract_y
_atom_site_fract_z
Mg1 0.0000 0.0000 0.0000
C1 0.0000 0.0000 0.5000
C2 0.5000 0.0000 0.0000
Mo1 0.0000 0.5000 0.0000
As1 0.5000 0.5000 0.5000
```

***

# 11
This record from Alexandria describes Pu2Hf2Pa15 after structural relaxation. The functional is GGA-PBE.

Summary:
ΔH_f (0 K), meV per atom: 290
Volume, Å³/f.u.: 483
M_tot, μB/f.u.: 8.6
Fermi-level density of states, states/eV per cell: 46.3

```
data_Pu2Hf2Pa15
_cell_length_a 7.9296
_cell_length_b 7.9296
_cell_length_c 7.9296
_cell_angle_alpha 81.19
_cell_angle_beta 81.19
_cell_angle_gamma 81.19
_space_group_name_H-M_alt 'P 1'
_space_group_IT_number 1
_space_group_name_Hall 'P 1'
loop_
_atom_site_label
_atom_site_fract_x
_atom_site_fract_y
_atom_site_fract_z
Pu1 0.9089 0.9089 0.9089
Pu2 0.0911 0.0911 0.0911
Hf1 0.6978 0.6978 0.6978
Hf2 0.3022 0.3022 0.3022
Pa1 0.0000 0.5000 0.0000
Pa2 0.0000 0.0000 0.5000
Pa3 0.5000 0.0000 0.0000
Pa4 0.3230 0.0000 0.6770
Pa5 0.6770 0.3230 0.0000
Pa6 0.0000 0.6770 0.3230
Pa7 0.3230 0.6770 0.0000
Pa8 0.0000 0.3230 0.6770
Pa9 0.6770 0.0000 0.3230
Pa10 0.3476 0.8376 0.3476
Pa11 0.3476 0.3476 0.8376
Pa12 0.8376 0.3476 0.3476
Pa13 0.6524 0.1624 0.6524
Pa14 0.6524 0.6524 0.1624
Pa15 0.1624 0.6524 0.6524
```

***

# 12
This record from Alexandria describes Y2CdB after structural relaxation. The functional is GGA-PBE.

Summary:
ΔH_f (0 K), meV per atom: 150
Polymorph energy (0 for the lowest one), meV/atom: 0
Volume, Å³/f.u.: 98
M_tot, μB/f.u.: 0.0
Fermi-level density of states, states/eV per cell: 6.3

```
data_Y2CdB
_cell_length_a 7.5388
_cell_length_b 7.5388
_cell_length_c 6.3510
_cell_angle_alpha 53.59
_cell_angle_beta 53.59
_cell_angle_gamma 90.00
_space_group_name_H-M_alt 'P 1'
_space_group_IT_number 1
_space_group_name_Hall 'P 1'
loop_
_atom_site_label
_atom_site_fract_x
_atom_site_fract_y
_atom_site_fract_z
Y1 0.5560 0.1250 0.2500
Y2 0.1940 0.6250 0.2500
Y3 0.3750 0.4440 0.7500
Y4 0.8750 0.8060 0.7500
B1 0.5000 0.5000 0.0000
B2 0.2500 0.7500 0.5000
Cd1 0.0000 0.0000 0.0000
Cd2 0.7500 0.2500 0.5000
```